# 1
This record from Alexandria describes CaScAsN2 after structural relaxation. The functional is GGA-PBE.

Geometry as extended XYZ:
```
5
Lattice="4.265 0.000 0.000 0.000 4.960 0.000 0.000 0.000 4.265" Properties=species:S:1:pos:R:3 pbc="T T T"
N 2.132 0.000 0.000
N 0.000 0.000 2.132
Sc 2.132 2.480 2.132
As 0.000 0.000 0.000
Ca 0.000 2.480 0.000
```

Results
Raw formation energy, eV/f.u.: 6.73
SG: P4/mmm, No. 123

***

# 2
This record from Alexandria describes PaAl3Ga3 after structural relaxation. The functional is GGA-PBE.

Geometry as extended XYZ:
```
14
Lattice="6.888 0.000 0.000 0.000 6.888 0.000 0.000 0.000 6.888" Properties=species:S:1:pos:R:3 pbc="T T T"
Ga 5.166 3.444 0.000
Ga 0.000 1.722 3.444
Ga 3.444 0.000 1.722
Ga 3.444 0.000 5.166
Ga 0.000 5.166 3.444
Ga 1.722 3.444 0.000
Al 5.166 0.000 3.444
Al 3.444 5.166 0.000
Al 0.000 3.444 5.166
Al 3.444 1.722 0.000
Al 1.722 0.000 3.444
Al 0.000 3.444 1.722
Pa 0.000 0.000 0.000
Pa 3.444 3.444 3.444
```

Results
DFT total energy, eV per atom: -3.79
SG: Pm-3n, No. 223

***

# 3
This record from Alexandria describes Ba2CaGa12Ir3 after structural relaxation. The functional is GGA-PBE.

Geometry as extended XYZ:
```
18
Lattice="8.539 -0.459 -0.326 3.818 7.652 -0.326 3.818 2.222 7.329" Properties=species:S:1:pos:R:3 pbc="T T T"
Ga 3.985 2.319 4.314
Ga 3.985 4.839 0.763
Ga 10.133 2.276 1.615
Ga 9.191 1.728 5.063
Ga 12.190 7.096 2.364
Ga 12.190 4.576 5.915
Ga 6.984 4.065 6.721
Ga 6.984 7.687 1.615
Ga 6.175 1.075 0.763
Ga 9.999 8.340 5.915
Ga 6.042 7.138 5.063
Ga 9.191 5.350 -0.043
Ba 6.530 3.801 2.696
Ba 9.645 5.614 3.982
Ca 0.000 0.000 0.000
Ir 1.909 1.111 3.665
Ir 4.270 -0.230 -0.163
Ir 1.909 3.826 -0.163
```

Results
DFT total energy, eV per atom: -3.95
SG: R-3m, No. 166

***

# 4
This record from Alexandria describes LiSnHgRu after structural relaxation. The functional is GGA-PBE.

Geometry as extended XYZ:
```
4
Lattice="-2.421 1.306 3.707 -0.364 -2.825 3.632 2.180 1.014 3.940" Properties=species:S:1:pos:R:3 pbc="T T T"
Li -0.454 -0.379 8.459
Hg 0.000 0.000 0.000
Sn -0.303 -0.253 5.639
Ru -0.151 -0.126 2.820
```

Results
DFT total energy, eV per atom: -3.92
SG: F-43m, No. 216

***

# 5
This record from Alexandria describes Y10Tl3Bi3 after structural relaxation. The functional is GGA-PBE.

Geometry as extended XYZ:
```
16
Lattice="6.638 0.000 0.000 0.000 7.849 -4.532 0.000 0.000 9.063" Properties=species:S:1:pos:R:3 pbc="T T T"
Y 0.000 1.860 -1.074
Y 3.319 1.854 1.071
Y 5.020 5.233 0.000
Y 3.319 5.995 -3.461
Y 1.618 5.233 0.000
Y 3.319 0.000 6.922
Y 0.000 5.989 3.458
Y 5.020 2.616 4.532
Y 1.618 2.616 4.532
Y 0.000 0.000 2.148
Bi 3.319 0.000 3.587
Bi 3.319 4.742 2.738
Bi 3.319 3.107 -1.794
Tl 0.000 3.091 1.785
Tl 0.000 4.758 -2.747
Tl 0.000 0.000 5.494
```

Results
DFT total energy, eV per atom: -5.78
SG: P-62m, No. 189

***

# 6
This record from Alexandria describes TlFe2Tc after structural relaxation. The functional is GGA-PBE.

Geometry as extended XYZ:
```
8
Lattice="-6.588 -1.757 -0.637 0.547 -4.046 5.498 -3.742 -0.785 4.060" Properties=species:S:1:pos:R:3 pbc="T T T"
Fe -5.040 -2.997 5.184
Fe -8.124 -5.432 6.981
Fe -1.797 -3.045 4.335
Fe -4.605 -1.699 1.341
Tl -6.675 -2.721 2.927
Tl 0.000 0.000 0.000
Tc -3.108 -3.866 5.994
Tc -3.020 -2.901 2.430
```

Results
DFT total energy, eV per atom: -6.47
SG: I-42d, No. 122

***

no.,DOS at the Fermi energy (states/eV/cell),ρ (g/cm³)
1,4.133,3.5
2,18.580,5.3
3,8.299,5.7
4,2.667,10.2
5,11.700,7.5
6,0.644,10.6